Computed, not measured: a relaxed NiSe2O2F6 crystal at the GGA+U level of DFT.

Results
Electronic total energy ... -4.24 eV per atom
Magnetic moment ... 2.0 μB/f.u.
V ... 172 Å³/cell

abc: 6.3257 6.3257 4.9753
angles: 90.00 90.00 120.00
With the nearest neighbours (Å) after each atom.
Positions (direct):
Ni1 0.0000 0.0000 0.0000  6 F 2.03
Se1 0.3333 0.6667 0.7288  1 O 1.60
Se2 0.6667 0.3333 0.2712  1 O 1.60
O1 0.3333 0.6667 0.4072  1 Se 1.60
O2 0.6667 0.3333 0.5928  1 Se 1.60
F1 0.1623 0.3043 0.7685  1 Se 2.00, 1 Ni 2.03
F2 0.1420 0.8377 0.7685  1 Se 2.00, 1 Ni 2.03
F3 0.6957 0.8580 0.7685  1 Se 2.00, 1 Ni 2.03
F4 0.8377 0.6957 0.2315  1 Se 2.00, 1 Ni 2.03
F5 0.8580 0.1623 0.2315  1 Se 2.00, 1 Ni 2.03
F6 0.3043 0.1420 0.2315  1 Se 2.00, 1 Ni 2.03